First-principles (PBE+U) data for crystalline Na2CoHgO4 at its relaxed geometry, as listed in Alexandria.

Geometry as POSCAR:
```
Na2CoHgO4
1.0
-2.8108 2.8108 3.5892
2.8108 -2.8108 3.5892
2.8108 2.8108 -3.5892
Na Co Hg O
2 1 1 4
Cartesian
0.0000 0.0000 0.0000 Na
0.0000 2.8108 1.7946 Na
0.0000 0.0000 3.5892 Co
2.8108 0.0000 1.7946 Hg
1.5771 1.6513 -0.5982 O
3.9702 1.5771 0.5982 O
1.2337 1.1595 2.9911 O
-1.1595 1.2337 4.1874 O
```

Output
E: -35.116 eV/cell
Spin magnetization: 3.01 μB per formula unit